Entry from the Alexandria database: Th2NiSe after structural relaxation (GGA-PBE).

CIF file:
```
data_Th2NiSe
_chemical_formula_sum 'Th2 Ni1 Se1'
_space_group_name_H-M_alt 'P -3 m 1'
_space_group_IT_number 164
_space_group_name_Hall '-P 3 2"'
_cell_length_a 3.9961
_cell_length_b 3.9961
_cell_length_c 7.3382
_cell_angle_alpha 90.00
_cell_angle_beta 90.00
_cell_angle_gamma 120.00
loop_
_atom_site_label
_atom_site_fract_x
_atom_site_fract_y
_atom_site_fract_z
Th1 0.3333 0.6667 0.2254
Ni1 0.0000 0.0000 0.0000
Se1 0.0000 0.0000 0.5000
```

Output
For the offset from the most stable computed form, the calculation gives 0.015 eV per atom. The uncorrected formation energy comes out at -918 meV/atom.

=====

Entry from the Alexandria database: Th5Ni2Se2 after structural relaxation (GGA-PBE).

CIF file:
```
data_Th5Ni2Se2
_chemical_formula_sum 'Th20 Ni8 Se8'
_space_group_name_H-M_alt 'C m c e'
_space_group_IT_number 64
_space_group_name_Hall '-C 2ac 2'
_cell_length_a 15.119
_cell_length_b 8.357
_cell_length_c 7.149
_cell_angle_alpha 90.00
_cell_angle_beta 90.00
_cell_angle_gamma 90.00
loop_
_atom_site_label
_atom_site_fract_x
_atom_site_fract_y
_atom_site_fract_z
Th1 0.000 0.000 0.000
Th2 0.131 0.176 0.352
Ni1 0.000 0.109 0.639
Se1 0.201 0.000 0.000
```

Output
The uncorrected formation energy comes out at -758 meV/atom.

=====

Entry from the Alexandria database: ThNiSe after structural relaxation (GGA-PBE).

CIF file:
```
data_ThNiSe
_chemical_formula_sum 'Th1 Ni1 Se1'
_space_group_name_H-M_alt 'P -6 m 2'
_space_group_IT_number 187
_space_group_name_Hall 'P -6 2'
_cell_length_a 4.0593
_cell_length_b 4.0593
_cell_length_c 4.1304
_cell_angle_alpha 90.00
_cell_angle_beta 90.00
_cell_angle_gamma 120.00
loop_
_atom_site_label
_atom_site_fract_x
_atom_site_fract_y
_atom_site_fract_z
Th1 0.0000 0.0000 0.0000
Ni1 0.6667 0.3333 0.5000
Se1 0.3333 0.6667 0.5000
```

Output
For the offset from the most stable computed form, the calculation gives 0.000 eV per atom. The uncorrected formation energy comes out at -1007 meV/atom.

=====

Entry from the Alexandria database: ThNiSe2 after structural relaxation (GGA-PBE).

CIF file:
```
data_ThNiSe2
_chemical_formula_sum 'Th3 Ni3 Se6'
_space_group_name_H-M_alt 'R -3 m'
_space_group_IT_number 166
_space_group_name_Hall '-R 3 2"'
_cell_length_a 3.6023
_cell_length_b 3.6023
_cell_length_c 25.1839
_cell_angle_alpha 90.00
_cell_angle_beta 90.00
_cell_angle_gamma 120.00
loop_
_atom_site_label
_atom_site_fract_x
_atom_site_fract_y
_atom_site_fract_z
Th1 0.0000 0.0000 0.0000
Ni1 0.0000 0.0000 0.5000
Se1 0.0000 0.0000 0.1158
```

Output
The uncorrected formation energy comes out at -275 meV/atom.

=====

Entry from the Alexandria database: Th6NiSe5 after structural relaxation (GGA-PBE).

CIF file:
```
data_Th6NiSe5
_chemical_formula_sum 'Th12 Ni2 Se10'
_space_group_name_H-M_alt 'C 1 2/m 1'
_space_group_IT_number 12
_space_group_name_Hall '-C 2y'
_cell_length_a 7.313
_cell_length_b 12.605
_cell_length_c 7.267
_cell_angle_alpha 90.00
_cell_angle_beta 109.53
_cell_angle_gamma 90.00
loop_
_atom_site_label
_atom_site_fract_x
_atom_site_fract_y
_atom_site_fract_z
Th1 0.235 0.000 0.253
Th2 0.237 0.158 0.736
Ni1 0.000 0.000 0.500
Se1 0.000 0.175 0.000
Se2 0.000 0.335 0.500
Se3 0.000 0.500 0.000
```

Output
The uncorrected formation energy comes out at -1359 meV/atom.

=====

Entry from the Alexandria database: Th2NiSe after structural relaxation (GGA-PBE).

CIF file:
```
data_Th2NiSe
_chemical_formula_sum 'Th6 Ni3 Se3'
_space_group_name_H-M_alt 'R -3 m'
_space_group_IT_number 166
_space_group_name_Hall '-R 3 2"'
_cell_length_a 4.0712
_cell_length_b 4.0712
_cell_length_c 21.4613
_cell_angle_alpha 90.00
_cell_angle_beta 90.00
_cell_angle_gamma 120.00
loop_
_atom_site_label
_atom_site_fract_x
_atom_site_fract_y
_atom_site_fract_z
Th1 0.0000 0.0000 0.2408
Ni1 0.0000 0.0000 0.5000
Se1 0.0000 0.0000 0.0000
```

Output
For the offset from the most stable computed form, the calculation gives 0.000 eV per atom. The uncorrected formation energy comes out at -932 meV/atom.

=====

Entry from the Alexandria database: Th3Ni5Se12 after structural relaxation (GGA-PBE).

CIF file:
```
data_Th3Ni5Se12
_chemical_formula_sum 'Th24 Ni40 Se96'
_space_group_name_H-M_alt 'I a -3 d'
_space_group_IT_number 230
_space_group_name_Hall '-I 4bd 2c 3'
_cell_length_a 15.395
_cell_length_b 15.395
_cell_length_c 15.395
_cell_angle_alpha 90.00
_cell_angle_beta 90.00
_cell_angle_gamma 90.00
loop_
_atom_site_label
_atom_site_fract_x
_atom_site_fract_y
_atom_site_fract_z
Th1 0.000 0.250 0.125
Ni1 0.000 0.000 0.000
Ni2 0.000 0.250 0.375
Se1 0.031 0.055 0.646
```

Output
The uncorrected formation energy comes out at -831 meV/atom.

=====

Entry from the Alexandria database: Th2NiSe after structural relaxation (GGA-PBE).

CIF file:
```
data_Th2NiSe
_chemical_formula_sum 'Th6 Ni3 Se3'
_space_group_name_H-M_alt 'R 3 m'
_space_group_IT_number 160
_space_group_name_Hall 'R 3 -2"'
_cell_length_a 4.0127
_cell_length_b 4.0127
_cell_length_c 22.2878
_cell_angle_alpha 90.00
_cell_angle_beta 90.00
_cell_angle_gamma 120.00
loop_
_atom_site_label
_atom_site_fract_x
_atom_site_fract_y
_atom_site_fract_z
Th1 0.0000 0.0000 0.0000
Th2 0.0000 0.0000 0.1885
Ni1 0.0000 0.0000 0.5931
Se1 0.0000 0.0000 0.7614
```

Output
For the offset from the most stable computed form, the calculation gives 0.051 eV per atom. The uncorrected formation energy comes out at -881 meV/atom.

=====

Entry from the Alexandria database: Th5NiSe4 after structural relaxation (GGA-PBE).

CIF file:
```
data_Th5NiSe4
_chemical_formula_sum 'Th10 Ni2 Se8'
_space_group_name_H-M_alt 'I 4/m'
_space_group_IT_number 87
_space_group_name_Hall '-I 4'
_cell_length_a 9.392
_cell_length_b 9.392
_cell_length_c 5.933
_cell_angle_alpha 90.00
_cell_angle_beta 90.00
_cell_angle_gamma 90.00
loop_
_atom_site_label
_atom_site_fract_x
_atom_site_fract_y
_atom_site_fract_z
Th1 0.000 0.000 0.000
Th2 0.099 0.717 0.500
Ni1 0.000 0.000 0.500
Se1 0.093 0.694 0.000
```

Output
The uncorrected formation energy comes out at -1322 meV/atom.

=====

Entry from the Alexandria database: ThNiSe after structural relaxation (GGA-PBE).

CIF file:
```
data_ThNiSe
_chemical_formula_sum 'Th4 Ni4 Se4'
_space_group_name_H-M_alt 'C 1 2/m 1'
_space_group_IT_number 12
_space_group_name_Hall '-C 2y'
_cell_length_a 7.017
_cell_length_b 4.052
_cell_length_c 10.948
_cell_angle_alpha 90.00
_cell_angle_beta 101.94
_cell_angle_gamma 90.00
loop_
_atom_site_label
_atom_site_fract_x
_atom_site_fract_y
_atom_site_fract_z
Th1 0.120 0.000 0.355
Ni1 0.240 0.500 0.208
Se1 0.109 0.500 0.838
```

Output
For the offset from the most stable computed form, the calculation gives 0.436 eV per atom. The uncorrected formation energy comes out at -571 meV/atom.

=====

Entry from the Alexandria database: Th3NiSe2 after structural relaxation (GGA-PBE).

CIF file:
```
data_Th3NiSe2
_chemical_formula_sum 'Th12 Ni4 Se8'
_space_group_name_H-M_alt 'C 1 2/m 1'
_space_group_IT_number 12
_space_group_name_Hall '-C 2y'
_cell_length_a 7.243
_cell_length_b 12.475
_cell_length_c 7.356
_cell_angle_alpha 90.00
_cell_angle_beta 109.19
_cell_angle_gamma 90.00
loop_
_atom_site_label
_atom_site_fract_x
_atom_site_fract_y
_atom_site_fract_z
Th1 0.221 0.000 0.222
Th2 0.248 0.177 0.771
Ni1 0.000 0.167 0.000
Se1 0.000 0.000 0.500
Se2 0.000 0.343 0.500
Se3 0.000 0.500 0.000
```

Output
The uncorrected formation energy comes out at -1166 meV/atom.

=====

Entry from the Alexandria database: ThNiSe after structural relaxation (GGA-PBE).

CIF file:
```
data_ThNiSe
_chemical_formula_sum 'Th4 Ni4 Se4'
_space_group_name_H-M_alt 'C 1 2/m 1'
_space_group_IT_number 12
_space_group_name_Hall '-C 2y'
_cell_length_a 7.246
_cell_length_b 4.181
_cell_length_c 11.065
_cell_angle_alpha 90.00
_cell_angle_beta 103.15
_cell_angle_gamma 90.00
loop_
_atom_site_label
_atom_site_fract_x
_atom_site_fract_y
_atom_site_fract_z
Th1 0.061 0.000 0.176
Ni1 0.161 0.500 0.983
Se1 0.219 0.000 0.672
```

Output
For the offset from the most stable computed form, the calculation gives 0.061 eV per atom. The uncorrected formation energy comes out at -946 meV/atom.